Record 1
Here is PaVRe2 after structural relaxation from Alexandria via LeMat-Bulk. Energies are from PBE.

Its space-group type is R-3m, No. 166. The density of states at the Fermi level is 6.36 states/eV/cell. For the energy of formation, the calculation gives 0.231 eV per atom. For the energy above the lowest structure with this stoichiometry, the calculation gives 252.8 meV/atom.

Cell: 2.9108 2.9108 9.4109 Å, 81.10 81.10 60.00°
Last column: nearest neighbours and their distance in Å.
Element x y z (fractional)
Re: 0.7375 0.7375 0.7875  3 V 2.59
Re: 0.2625 0.2625 0.2125  3 V 2.59
Pa: 0.5000 0.5000 0.5000  6 Pa 2.91, 6 Re 3.15
V: 0.0000 0.0000 0.0000  6 Re 2.59


Record 2
Here is ScNb2Tl after structural relaxation from Alexandria via LeMat-Bulk. Energies are from PBE.

Its space-group type is I-42d, No. 122. The density of states at the Fermi level is 6.00 states/eV/cell. For the energy of formation, the calculation gives 0.665 eV per atom. For the energy above the lowest structure with this stoichiometry, the calculation gives 227.0 meV/atom.

Cell: 7.8650 7.8650 6.2398 Å, 50.93 50.93 90.00°
Last column: nearest neighbours and their distance in Å.
Element x y z (fractional)
Sc: 0.5000 0.5000 0.0000  2 Tl 2.83, 4 Nb 2.92
Sc: 0.2500 0.7500 0.5000  2 Tl 2.83, 4 Nb 2.92
Tl: 0.0000 0.0000 0.0000  4 Nb 2.82, 2 Sc 2.83
Tl: 0.7500 0.2500 0.5000  4 Nb 2.82, 2 Sc 2.83
Nb: 0.6346 0.1250 0.2500  2 Tl 2.82, 2 Nb 2.83, 2 Sc 2.92
Nb: 0.1154 0.6250 0.2500  2 Tl 2.82, 2 Nb 2.83, 2 Sc 2.92
Nb: 0.3750 0.3654 0.7500  2 Tl 2.82, 2 Nb 2.83, 2 Sc 2.92
Nb: 0.8750 0.8846 0.7500  2 Tl 2.82, 2 Nb 2.83, 2 Sc 2.92


Record 3
Here is YZnFe2 after structural relaxation from Alexandria via LeMat-Bulk. Energies are from PBE.

Its space-group type is I-42d, No. 122. The density of states at the Fermi level is 9.26 states/eV/cell. For the energy of formation, the calculation gives 0.423 eV per atom.

Cell: 4.0708 4.0708 9.1036 Å, 77.08 77.08 90.00°
Last column: nearest neighbours and their distance in Å.
Element x y z (fractional)
Y: 0.0000 0.0000 0.0000  4 Zn 2.88, 4 Fe 2.89
Y: 0.7500 0.2500 0.5000  4 Zn 2.88, 4 Fe 2.89
Zn: 0.5000 0.5000 0.0000  4 Fe 2.42
Zn: 0.2500 0.7500 0.5000  4 Fe 2.42
Fe: 0.4767 0.1250 0.2500  2 Fe 2.20, 2 Zn 2.42
Fe: 0.2733 0.6250 0.2500  2 Fe 2.20, 2 Zn 2.42
Fe: 0.3750 0.5233 0.7500  2 Fe 2.20, 2 Zn 2.42
Fe: 0.8750 0.7267 0.7500  2 Fe 2.20, 2 Zn 2.42


Record 4
Here is CaSc2Co after structural relaxation from Alexandria via LeMat-Bulk. Energies are from PBE.

Its space-group type is R-3m, No. 166. The density of states at the Fermi level is 4.82 states/eV/cell. For the energy of formation, the calculation gives 0.108 eV per atom. For the energy above the lowest structure with this stoichiometry, the calculation gives 193.7 meV/atom.

Cell: 9.9411 9.9411 9.9411 Å, 20.82 20.82 20.82°
Last column: nearest neighbours and their distance in Å.
Element x y z (fractional)
Sc: 0.8804 0.8804 0.8804  3 Co 2.49
Sc: 0.1196 0.1196 0.1196  3 Co 2.49
Ca: 0.0000 0.0000 0.0000  2 Sc 3.49, 6 Ca 3.59
Co: 0.5000 0.5000 0.5000  6 Sc 2.49


Record 5
Here is Tc2IrRu after structural relaxation from Alexandria via LeMat-Bulk. Energies are from PBE.

Its space-group type is I4/mmm, No. 139. The density of states at the Fermi level is 5.10 states/eV/cell. For the energy of formation, the calculation gives -0.079 eV per atom. For the energy above the lowest structure with this stoichiometry, the calculation gives 119.6 meV/atom.

Cell: 4.7291 4.7291 4.7291 Å, 131.91 131.91 70.37°
Last column: nearest neighbours and their distance in Å.
Element x y z (fractional)
Ir: 0.2500 0.7500 0.5000  4 Ru 2.73, 8 Tc 2.73
Ru: 0.7500 0.2500 0.5000  4 Ir 2.73, 8 Tc 2.73
Tc: 0.0000 0.0000 0.0000  4 Tc 2.73, 4 Ru 2.73, 4 Ir 2.73
Tc: 0.5000 0.5000 0.0000  4 Tc 2.73, 4 Ru 2.73, 4 Ir 2.73


Record 6
Here is CsTl2Ge after structural relaxation from Alexandria via LeMat-Bulk. Energies are from PBE.

Its space-group type is Fm-3m, No. 225. The density of states at the Fermi level is 2.66 states/eV/cell. For the energy of formation, the calculation gives 0.182 eV per atom. For the energy above the lowest structure with this stoichiometry, the calculation gives 197.3 meV/atom.

Cell: 5.7475 5.7475 5.7475 Å, 60.00 60.00 60.00°
Last column: nearest neighbours and their distance in Å.
Element x y z (fractional)
Cs: 0.5000 0.5000 0.5000  8 Tl 3.52
Tl: 0.2500 0.2500 0.2500  4 Cs 3.52, 4 Ge 3.52
Tl: 0.7500 0.7500 0.7500  4 Cs 3.52, 4 Ge 3.52
Ge: 0.0000 0.0000 0.0000  8 Tl 3.52


- Which value of energy of formation does entry 4 give?
  0.108 eV per atom